Entry 1:
# BI GGA-PBE relaxed
# - electronic total energy (eV/atom) = -2.523
# - distance to the lowest polymorph of the same formula (meV/atom) = 1371
# - energy relative to the elements, uncorrected (eV/atom) = 1.59
data_BI
_chemical_formula_sum 'B8 I8'
_cell_length_a 9.083
_cell_length_b 9.083
_cell_length_c 5.504
_cell_angle_alpha 90.00
_cell_angle_beta 90.00
_cell_angle_gamma 90.00
_symmetry_space_group_name_H-M 'P 4/m'
_symmetry_Int_Tables_number 83
_symmetry_space_group_name_Hall '-P 4'
loop_
_atom_site_label
_atom_site_type_symbol
_atom_site_fract_x
_atom_site_fract_y
_atom_site_fract_z
B1 B 0.090 0.345 0.000
B2 B 0.162 0.657 0.500
I1 I 0.099 0.292 0.500
I2 I 0.185 0.600 0.000

---

Entry 2:
# BI GGA-PBE relaxed
# - electronic total energy (eV/atom) = -2.335
# - distance to the lowest polymorph of the same formula (meV/atom) = 1559
# - energy relative to the elements, uncorrected (eV/atom) = 1.78
data_BI
_chemical_formula_sum 'B4 I4'
_cell_length_a 6.359
_cell_length_b 6.359
_cell_length_c 6.359
_cell_angle_alpha 90.00
_cell_angle_beta 90.00
_cell_angle_gamma 90.00
_symmetry_space_group_name_H-M 'F -4 3 m'
_symmetry_Int_Tables_number 216
_symmetry_space_group_name_Hall 'F -4 2 3'
loop_
_atom_site_label
_atom_site_type_symbol
_atom_site_fract_x
_atom_site_fract_y
_atom_site_fract_z
B1 B 0.000 0.000 0.000
I1 I 0.250 0.250 0.750

---

Entry 3:
# BI GGA-PBE relaxed
# - electronic total energy (eV/atom) = -2.505
# - distance to the lowest polymorph of the same formula (meV/atom) = 1389
# - energy relative to the elements, uncorrected (eV/atom) = 1.61
data_BI
_chemical_formula_sum 'B4 I4'
_cell_length_a 5.486
_cell_length_b 5.486
_cell_length_c 5.486
_cell_angle_alpha 90.00
_cell_angle_beta 90.00
_cell_angle_gamma 90.00
_symmetry_space_group_name_H-M 'F m -3 m'
_symmetry_Int_Tables_number 225
_symmetry_space_group_name_Hall '-F 4 2 3'
loop_
_atom_site_label
_atom_site_type_symbol
_atom_site_fract_x
_atom_site_fract_y
_atom_site_fract_z
B1 B 0.000 0.000 0.000
I1 I 0.000 0.000 0.500

---

Entry 4:
# BI GGA-PBE relaxed
# - electronic total energy (eV/atom) = -2.528
# - distance to the lowest polymorph of the same formula (meV/atom) = 1366
# - energy relative to the elements, uncorrected (eV/atom) = 1.59
data_BI
_chemical_formula_sum 'B16 I16'
_cell_length_a 7.994
_cell_length_b 8.062
_cell_length_c 11.131
_cell_angle_alpha 90.00
_cell_angle_beta 90.00
_cell_angle_gamma 90.00
_symmetry_space_group_name_H-M 'F d d d'
_symmetry_Int_Tables_number 70
loop_
_symmetry_equiv_pos_as_xyz
'x,y,z'
'-x,-y,-z'
'-x+1/4,-y+1/4,z'
'x+1/4,y+1/4,-z'
'x,-y+1/4,-z+1/4'
'-x,y+1/4,z+1/4'
'-x+1/4,y,-z+1/4'
'x+1/4,-y,z+1/4'
'x,y+1/2,z+1/2'
'-x,-y+1/2,-z+1/2'
'-x+1/4,-y+3/4,z+1/2'
'x+1/4,y+3/4,-z+1/2'
'x,-y+3/4,-z+3/4'
'-x,y+3/4,z+3/4'
'-x+1/4,y+1/2,-z+3/4'
'x+1/4,-y+1/2,z+3/4'
'x+1/2,y,z+1/2'
'-x+1/2,-y,-z+1/2'
'-x+3/4,-y+1/4,z+1/2'
'x+3/4,y+1/4,-z+1/2'
'x+1/2,-y+1/4,-z+3/4'
'-x+1/2,y+1/4,z+3/4'
'-x+3/4,y,-z+3/4'
'x+3/4,-y,z+3/4'
'x+1/2,y+1/2,z'
'-x+1/2,-y+1/2,-z'
'-x+3/4,-y+3/4,z'
'x+3/4,y+3/4,-z'
'x+1/2,-y+3/4,-z+1/4'
'-x+1/2,y+3/4,z+1/4'
'-x+3/4,y+1/2,-z+1/4'
'x+3/4,-y+1/2,z+1/4'
loop_
_atom_site_label
_atom_site_type_symbol
_atom_site_fract_x
_atom_site_fract_y
_atom_site_fract_z
B1 B 0.125 0.327 0.125
I1 I 0.114 0.375 0.375

---

Entry 5:
# BI GGA-PBE relaxed
# - electronic total energy (eV/atom) = -2.530
# - distance to the lowest polymorph of the same formula (meV/atom) = 1364
# - energy relative to the elements, uncorrected (eV/atom) = 1.58
data_BI
_chemical_formula_sum 'B6 I6'
_cell_length_a 8.3544
_cell_length_b 8.3544
_cell_length_c 5.6257
_cell_angle_alpha 90.00
_cell_angle_beta 90.00
_cell_angle_gamma 120.00
_symmetry_space_group_name_H-M 'P 63/m'
_symmetry_Int_Tables_number 176
_symmetry_space_group_name_Hall '-P 6c'
loop_
_atom_site_label
_atom_site_type_symbol
_atom_site_fract_x
_atom_site_fract_y
_atom_site_fract_z
B1 B 0.0042 0.3718 0.2500
I1 I 0.0810 0.6967 0.2500

---

Entry 6:
# BI GGA-PBE relaxed
# - electronic total energy (eV/atom) = -3.269
# - distance to the lowest polymorph of the same formula (meV/atom) = 626
# - energy relative to the elements, uncorrected (eV/atom) = 0.85
data_BI
_chemical_formula_sum 'B8 I8'
_cell_length_a 4.529
_cell_length_b 10.906
_cell_length_c 12.688
_cell_angle_alpha 90.00
_cell_angle_beta 90.00
_cell_angle_gamma 90.00
_symmetry_space_group_name_H-M 'P 21 21 21'
_symmetry_Int_Tables_number 19
_symmetry_space_group_name_Hall 'P 2ac 2ab'
loop_
_atom_site_label
_atom_site_type_symbol
_atom_site_fract_x
_atom_site_fract_y
_atom_site_fract_z
B1 B 0.019 0.149 0.416
B2 B 0.022 0.213 0.310
I1 I 0.019 0.127 0.573
I2 I 0.023 0.262 0.153

---

Entry 7:
# InB2I2 GGA-PBE relaxed
# - electronic total energy (eV/atom) = -2.620
# - distance to the lowest polymorph of the same formula (meV/atom) = 237
# - energy relative to the elements, uncorrected (eV/atom) = 1.22
data_InB2I2
_chemical_formula_sum 'In2 B4 I4'
_cell_length_a 7.154
_cell_length_b 7.154
_cell_length_c 4.890
_cell_angle_alpha 90.00
_cell_angle_beta 90.00
_cell_angle_gamma 90.00
_symmetry_space_group_name_H-M 'P 4/m b m'
_symmetry_Int_Tables_number 127
_symmetry_space_group_name_Hall '-P 4 2ab'
loop_
_atom_site_label
_atom_site_type_symbol
_atom_site_fract_x
_atom_site_fract_y
_atom_site_fract_z
In1 In 0.000 0.000 0.000
B1 B 0.212 0.288 0.000
I1 I 0.190 0.310 0.500

---

Entry 8:
# InB2I2 GGA-PBE relaxed
# - electronic total energy (eV/atom) = -2.857
# - distance to the lowest polymorph of the same formula (meV/atom) = 0
# - energy relative to the elements, uncorrected (eV/atom) = 0.98
data_InB2I2
_chemical_formula_sum 'In2 B4 I4'
_cell_length_a 6.669
_cell_length_b 6.669
_cell_length_c 6.024
_cell_angle_alpha 90.00
_cell_angle_beta 90.00
_cell_angle_gamma 90.00
_symmetry_space_group_name_H-M 'I 4/m m m'
_symmetry_Int_Tables_number 139
_symmetry_space_group_name_Hall '-I 4 2'
loop_
_atom_site_label
_atom_site_type_symbol
_atom_site_fract_x
_atom_site_fract_y
_atom_site_fract_z
In1 In 0.000 0.000 0.000
B1 B 0.000 0.000 0.368
I1 I 0.000 0.500 0.250

---

Entry 9:
# In2BI GGA-PBE relaxed
# - electronic total energy (eV/atom) = -2.353
# - distance to the lowest polymorph of the same formula (meV/atom) = 925
# - energy relative to the elements, uncorrected (eV/atom) = 1.07
data_In2BI
_chemical_formula_sum 'In8 B4 I4'
_cell_length_a 7.550
_cell_length_b 7.550
_cell_length_c 7.550
_cell_angle_alpha 90.00
_cell_angle_beta 90.00
_cell_angle_gamma 90.00
_symmetry_space_group_name_H-M 'F m -3 m'
_symmetry_Int_Tables_number 225
_symmetry_space_group_name_Hall '-F 4 2 3'
loop_
_atom_site_label
_atom_site_type_symbol
_atom_site_fract_x
_atom_site_fract_y
_atom_site_fract_z
In1 In 0.250 0.250 0.250
B1 B 0.000 0.000 0.000
I1 I 0.000 0.000 0.500

---

Entry 10:
# In2BI GGA-PBE relaxed
# - electronic total energy (eV/atom) = -3.278
# - distance to the lowest polymorph of the same formula (meV/atom) = 0
# - energy relative to the elements, uncorrected (eV/atom) = 0.15
data_In2BI
_chemical_formula_sum 'In8 B4 I4'
_cell_length_a 6.440
_cell_length_b 6.440
_cell_length_c 11.246
_cell_angle_alpha 90.00
_cell_angle_beta 90.00
_cell_angle_gamma 90.00
_symmetry_space_group_name_H-M 'I -4 2 d'
_symmetry_Int_Tables_number 122
_symmetry_space_group_name_Hall 'I -4 2bw'
loop_
_atom_site_label
_atom_site_type_symbol
_atom_site_fract_x
_atom_site_fract_y
_atom_site_fract_z
In1 In 0.103 0.250 0.125
B1 B 0.000 0.000 0.000
I1 I 0.000 0.000 0.500

---

Entry 11:
# InBIr2I GGA-PBE relaxed
# - electronic total energy (eV/atom) = -3.769
# - energy relative to the elements, uncorrected (eV/atom) = 1.97
data_InBIr2I
_chemical_formula_sum 'In1 B1 Ir2 I1'
_cell_length_a 5.084
_cell_length_b 5.084
_cell_length_c 4.166
_cell_angle_alpha 90.00
_cell_angle_beta 90.00
_cell_angle_gamma 90.00
_symmetry_space_group_name_H-M 'P 4/m m m'
_symmetry_Int_Tables_number 123
_symmetry_space_group_name_Hall '-P 4 2'
loop_
_atom_site_label
_atom_site_type_symbol
_atom_site_fract_x
_atom_site_fract_y
_atom_site_fract_z
In1 In 0.000 0.000 0.000
B1 B 0.000 0.000 0.500
Ir1 Ir 0.000 0.500 0.000
I1 I 0.500 0.500 0.500

---

Entry 12:
# InB2IN GGA-PBE relaxed
# - electronic total energy (eV/atom) = -3.105
# - energy relative to the elements, uncorrected (eV/atom) = 2.09
data_InB2IN
_chemical_formula_sum 'In1 B2 I1 N1'
_cell_length_a 4.248
_cell_length_b 4.248
_cell_length_c 4.615
_cell_angle_alpha 90.00
_cell_angle_beta 90.00
_cell_angle_gamma 90.00
_symmetry_space_group_name_H-M 'P 4/m m m'
_symmetry_Int_Tables_number 123
_symmetry_space_group_name_Hall '-P 4 2'
loop_
_atom_site_label
_atom_site_type_symbol
_atom_site_fract_x
_atom_site_fract_y
_atom_site_fract_z
In1 In 0.000 0.000 0.000
B1 B 0.000 0.500 0.500
I1 I 0.500 0.500 0.000
N1 N 0.500 0.500 0.500

---

Repeat the fourth record exactly.
# BI GGA-PBE relaxed
# - electronic total energy (eV/atom) = -2.528
# - distance to the lowest polymorph of the same formula (meV/atom) = 1366
# - energy relative to the elements, uncorrected (eV/atom) = 1.59
data_BI
_chemical_formula_sum 'B16 I16'
_cell_length_a 7.994
_cell_length_b 8.062
_cell_length_c 11.131
_cell_angle_alpha 90.00
_cell_angle_beta 90.00
_cell_angle_gamma 90.00
_symmetry_space_group_name_H-M 'F d d d'
_symmetry_Int_Tables_number 70
loop_
_symmetry_equiv_pos_as_xyz
'x,y,z'
'-x,-y,-z'
'-x+1/4,-y+1/4,z'
'x+1/4,y+1/4,-z'
'x,-y+1/4,-z+1/4'
'-x,y+1/4,z+1/4'
'-x+1/4,y,-z+1/4'
'x+1/4,-y,z+1/4'
'x,y+1/2,z+1/2'
'-x,-y+1/2,-z+1/2'
'-x+1/4,-y+3/4,z+1/2'
'x+1/4,y+3/4,-z+1/2'
'x,-y+3/4,-z+3/4'
'-x,y+3/4,z+3/4'
'-x+1/4,y+1/2,-z+3/4'
'x+1/4,-y+1/2,z+3/4'
'x+1/2,y,z+1/2'
'-x+1/2,-y,-z+1/2'
'-x+3/4,-y+1/4,z+1/2'
'x+3/4,y+1/4,-z+1/2'
'x+1/2,-y+1/4,-z+3/4'
'-x+1/2,y+1/4,z+3/4'
'-x+3/4,y,-z+3/4'
'x+3/4,-y,z+3/4'
'x+1/2,y+1/2,z'
'-x+1/2,-y+1/2,-z'
'-x+3/4,-y+3/4,z'
'x+3/4,y+3/4,-z'
'x+1/2,-y+3/4,-z+1/4'
'-x+1/2,y+3/4,z+1/4'
'-x+3/4,y+1/2,-z+1/4'
'x+3/4,-y+1/2,z+1/4'
loop_
_atom_site_label
_atom_site_type_symbol
_atom_site_fract_x
_atom_site_fract_y
_atom_site_fract_z
B1 B 0.125 0.327 0.125
I1 I 0.114 0.375 0.375

---

Q: Which of these has the lowest electronic total energy?
A: InBIr2I